(1)
# AlAg2P, PBEsol geometry, DFT SCAN
# - ΔE_f: 0.29 eV/atom
# - Calculated density: 6.881 Mg/m³
# - Fermi-level density of states: 0.163 states/eV/atom
# - Offset from the most stable computed form: 146 meV per atom
data_AlAg2P
_cell_length_a 6.417
_cell_length_b 6.417
_cell_length_c 6.417
_cell_angle_alpha 90.00
_cell_angle_beta 90.00
_cell_angle_gamma 90.00
_space_group_name_H-M_alt 'F m -3 m'
_space_group_IT_number 225
_space_group_name_Hall '-F 4 2 3'
loop_
_atom_site_label
_atom_site_fract_x
_atom_site_fract_y
_atom_site_fract_z
Al1 0.000 0.000 0.000
Ag1 0.250 0.250 0.250
P1 0.000 0.000 0.500

=====

(2)
# CdCo2Ag, PBEsol geometry, DFT SCAN
# - ΔE_f: 0.31 eV/atom
# - Calculated density: 9.899 Mg/m³
# - Fermi-level density of states: 0.565 states/eV/atom
data_CdCo2Ag
_cell_length_a 6.099
_cell_length_b 6.099
_cell_length_c 6.099
_cell_angle_alpha 90.00
_cell_angle_beta 90.00
_cell_angle_gamma 90.00
_space_group_name_H-M_alt 'F -4 3 m'
_space_group_IT_number 216
_space_group_name_Hall 'F -4 2 3'
loop_
_atom_site_label
_atom_site_fract_x
_atom_site_fract_y
_atom_site_fract_z
Cd1 0.000 0.000 0.000
Co1 0.000 0.000 0.500
Co2 0.250 0.250 0.750
Ag1 0.250 0.250 0.250

=====

(3)
# Zn2TeP, PBEsol geometry, DFT SCAN
# - Calculated density: 6.225 Mg/m³
# - Uncorrected formation energy: 292 meV per atom
# - Fermi-level density of states: 0.457 states/eV/atom
# - Offset from the most stable computed form: 494 meV per atom
data_Zn2TeP
_cell_length_a 3.750
_cell_length_b 5.560
_cell_length_c 7.405
_cell_angle_alpha 90.00
_cell_angle_beta 90.00
_cell_angle_gamma 90.00
_space_group_name_H-M_alt 'C m m m'
_space_group_IT_number 65
_space_group_name_Hall '-C 2 2'
loop_
_atom_site_label
_atom_site_fract_x
_atom_site_fract_y
_atom_site_fract_z
Zn1 0.000 0.000 0.209
Te1 0.000 0.500 0.500
P1 0.000 0.500 0.000

=====

(4)
# MnP2SCl, PBEsol geometry, DFT SCAN
# - Calculated density: 3.684 Mg/m³
# - Uncorrected formation energy: 493 meV per atom
# - Fermi-level density of states: 0.476 states/eV/atom
data_MnP2SCl
_cell_length_a 4.407
_cell_length_b 4.407
_cell_length_c 4.279
_cell_angle_alpha 90.00
_cell_angle_beta 90.00
_cell_angle_gamma 90.00
_space_group_name_H-M_alt 'P 4/m m m'
_space_group_IT_number 123
_space_group_name_Hall '-P 4 2'
loop_
_atom_site_label
_atom_site_fract_x
_atom_site_fract_y
_atom_site_fract_z
Mn1 0.000 0.000 0.000
P1 0.000 0.500 0.000
S1 0.500 0.500 0.500
Cl1 0.000 0.000 0.500

=====

| no. | final energy (eV per formula unit) |
| --- | --- |
| 1 | -79.7 |
| 2 | -95.1 |
| 3 | -73.5 |
| 4 | -54.2 |